Record 1
# Ba2PmBr2N2

Crystalline Ba2PmBr2N2 at its relaxed geometry (PBE-GGA, Alexandria via LeMat-Bulk).

* E_form (uncorrected): -9.358 eV/f.u.
* total magnetic moment: 0.3 μB per formula unit
* SG: No. 139

Unit cell a=4.694 b=4.694 c=9.138 alpha=104.88 beta=104.88 gamma=90.00
Sites, in units of the cell vectors:
1 Ba 0.392 0.392 0.784
2 Ba 0.608 0.608 0.216
3 Pm 0.000 0.000 0.000
4 Br 0.180 0.180 0.361
5 Br 0.820 0.820 0.639
6 N 0.000 0.500 0.000
7 N 0.500 0.000 0.000

Record 2
# Rb3Na2Cd5

Crystalline Rb3Na2Cd5 at its relaxed geometry (PBE-GGA, Alexandria via LeMat-Bulk).

* total magnetic moment: 0.0 μB per formula unit
* E_form: -0.002 eV per atom
* SG: No. 15

Unit cell a=6.791 b=8.416 c=13.921 alpha=107.59 beta=104.12 gamma=90.00
Sites, in units of the cell vectors:
1 Rb 0.718 0.878 0.437
2 Rb 0.218 0.558 0.437
3 Rb 0.282 0.122 0.563
4 Rb 0.782 0.442 0.563
5 Rb 0.750 0.000 0.000
6 Rb 0.250 0.000 0.000
7 Na 0.900 0.221 0.799
8 Na 0.399 0.578 0.799
9 Na 0.100 0.779 0.201
10 Na 0.601 0.422 0.201
11 Cd 0.577 0.777 0.156
12 Cd 0.078 0.379 0.156
13 Cd 0.423 0.223 0.844
14 Cd 0.922 0.621 0.844
15 Cd 0.605 0.855 0.710
16 Cd 0.395 0.145 0.290
17 Cd 0.250 0.500 0.000
18 Cd 0.750 0.500 0.000
19 Cd 0.895 0.145 0.290
20 Cd 0.105 0.855 0.710